[1]
Density functional theory data (PBE) for crystalline La2PuSn4Pd3 at its relaxed geometry.

Results
- DFT total energy (eV per atom) = -6.22
- volume (A^3/atom) = 25.29

```
data_La2PuSn4Pd3
_chemical_formula_sum 'La2 Pu1 Sn4 Pd3'
_cell_length_a 4.503
_cell_length_b 4.503
_cell_length_c 12.473
_cell_angle_alpha 90.00
_cell_angle_beta 90.00
_cell_angle_gamma 90.00
_symmetry_space_group_name_H-M 'P -4 m 2'
_symmetry_Int_Tables_number 115
_symmetry_space_group_name_Hall 'P -4 -2'
loop_
_atom_site_label
_atom_site_type_symbol
_atom_site_fract_x
_atom_site_fract_y
_atom_site_fract_z
La1 La 0.000 0.500 0.228
Pu1 Pu 0.000 0.000 0.500
Sn1 Sn 0.000 0.000 0.000
Sn2 Sn 0.000 0.500 0.666
Sn3 Sn 0.500 0.500 0.000
Pd1 Pd 0.000 0.500 0.877
Pd2 Pd 0.500 0.500 0.500
```



[2]
Density functional theory data (PBE) for crystalline LaPu2Sn2Pd2 at its relaxed geometry.

Results
- DFT total energy (eV per atom) = -8.01
- volume (A^3/atom) = 24.19

```
data_LaPu2Sn2Pd2
_chemical_formula_sum 'La3 Pu6 Sn6 Pd6'
_cell_length_a 4.6796
_cell_length_b 4.6796
_cell_length_c 26.7900
_cell_angle_alpha 90.00
_cell_angle_beta 90.00
_cell_angle_gamma 120.00
_symmetry_space_group_name_H-M 'R -3 m'
_symmetry_Int_Tables_number 166
_symmetry_space_group_name_Hall '-R 3 2"'
loop_
_atom_site_label
_atom_site_type_symbol
_atom_site_fract_x
_atom_site_fract_y
_atom_site_fract_z
La1 La 0.0000 0.0000 0.0000
Pu1 Pu 0.0000 0.0000 0.1420
Sn1 Sn 0.0000 0.0000 0.2620
Pd1 Pd 0.0000 0.0000 0.4295
```



[3]
Density functional theory data (PBE) for crystalline La2PuSn3Pd4 at its relaxed geometry.

Results
- DFT total energy (eV per atom) = -6.44
- volume (A^3/atom) = 23.93

```
data_La2PuSn3Pd4
_chemical_formula_sum 'La2 Pu1 Sn3 Pd4'
_cell_length_a 4.673
_cell_length_b 4.673
_cell_length_c 10.956
_cell_angle_alpha 90.00
_cell_angle_beta 90.00
_cell_angle_gamma 90.00
_symmetry_space_group_name_H-M 'P -4 m 2'
_symmetry_Int_Tables_number 115
_symmetry_space_group_name_Hall 'P -4 -2'
loop_
_atom_site_label
_atom_site_type_symbol
_atom_site_fract_x
_atom_site_fract_y
_atom_site_fract_z
La1 La 0.000 0.500 0.230
Pu1 Pu 0.000 0.000 0.500
Sn1 Sn 0.000 0.500 0.879
Sn2 Sn 0.500 0.500 0.500
Pd1 Pd 0.000 0.000 0.000
Pd2 Pd 0.000 0.500 0.641
Pd3 Pd 0.500 0.500 0.000
```



[4]
Density functional theory data (PBE) for crystalline LaPuTlPd at its relaxed geometry.

Results
- DFT total energy (eV per atom) = -6.97
- volume (A^3/atom) = 26.84

```
data_LaPuTlPd
_chemical_formula_sum 'La4 Pu4 Tl4 Pd4'
_cell_length_a 7.544
_cell_length_b 7.544
_cell_length_c 7.544
_cell_angle_alpha 90.00
_cell_angle_beta 90.00
_cell_angle_gamma 90.00
_symmetry_space_group_name_H-M 'F -4 3 m'
_symmetry_Int_Tables_number 216
_symmetry_space_group_name_Hall 'F -4 2 3'
loop_
_atom_site_label
_atom_site_type_symbol
_atom_site_fract_x
_atom_site_fract_y
_atom_site_fract_z
La1 La 0.000 0.000 0.000
Pu1 Pu 0.000 0.000 0.500
Tl1 Tl 0.250 0.250 0.250
Pd1 Pd 0.250 0.250 0.750
```



[5]
Density functional theory data (PBE) for crystalline LaPuZnPd at its relaxed geometry.

Results
- DFT total energy (eV per atom) = -6.76
- volume (A^3/atom) = 24.18

```
data_LaPuZnPd
_chemical_formula_sum 'La4 Pu4 Zn4 Pd4'
_cell_length_a 7.286
_cell_length_b 7.286
_cell_length_c 7.286
_cell_angle_alpha 90.00
_cell_angle_beta 90.00
_cell_angle_gamma 90.00
_symmetry_space_group_name_H-M 'F -4 3 m'
_symmetry_Int_Tables_number 216
_symmetry_space_group_name_Hall 'F -4 2 3'
loop_
_atom_site_label
_atom_site_type_symbol
_atom_site_fract_x
_atom_site_fract_y
_atom_site_fract_z
La1 La 0.000 0.000 0.000
Pu1 Pu 0.000 0.000 0.500
Zn1 Zn 0.250 0.250 0.250
Pd1 Pd 0.250 0.250 0.750
```



[6]
Density functional theory data (PBE) for crystalline Rb2LaPd at its relaxed geometry.

Results
- DFT total energy (eV per atom) = -2.27
- volume (A^3/atom) = 36.50
- offset from the most stable computed form (eV/atom) = 0.452

```
data_Rb2LaPd
_chemical_formula_sum 'Rb8 La4 Pd4'
_cell_length_a 8.359
_cell_length_b 8.359
_cell_length_c 8.359
_cell_angle_alpha 90.00
_cell_angle_beta 90.00
_cell_angle_gamma 90.00
_symmetry_space_group_name_H-M 'F m -3 m'
_symmetry_Int_Tables_number 225
_symmetry_space_group_name_Hall '-F 4 2 3'
loop_
_atom_site_label
_atom_site_type_symbol
_atom_site_fract_x
_atom_site_fract_y
_atom_site_fract_z
Rb1 Rb 0.250 0.250 0.250
La1 La 0.000 0.000 0.000
Pd1 Pd 0.000 0.000 0.500
```